No. 1
Here is a relaxed SiPBr2 crystal from Alexandria. Energies are from PBE.

Cell lengths 5.606, 5.606, 5.606 Å; angles 145.48, 114.66, 76.05 degrees
Fractional coordinates of all 4 atoms:
Br (0.498, 0.498, 0.000)
Br (0.002, 0.002, 0.000)
P (0.750, 0.250, 0.500)
Si (0.250, 0.750, 0.500)

Computed properties:
Crystal system: orthorhombic
Total energy: -2.90 eV/atom
Uncorrected formation energy: 642.2 meV/atom
Space group: Immm, No. 71

No. 2
Here is a relaxed SiTePt2 crystal from Alexandria. Energies are from PBE.

Cell lengths 4.247, 4.247, 5.608 Å; angles 85.84, 85.84, 51.89 degrees
Fractional coordinates of all 4 atoms:
Si (0.564, 0.564, 0.311)
Pt (0.980, 0.980, 0.056)
Pt (0.257, 0.257, 0.359)
Te (0.699, 0.699, 0.774)

Computed properties:
Crystal system: monoclinic
Total energy: -5.48 eV/atom
Uncorrected formation energy: -320.5 meV/atom
Space group: Cm, No. 8

No. 3
Here is a relaxed Zn2InSb crystal from Alexandria. Energies are from PBE.

Cell lengths 4.406, 4.406, 6.184 Å; angles 74.96, 74.96, 52.88 degrees
Fractional coordinates of all 4 atoms:
Zn (0.005, 0.005, 0.966)
Zn (0.739, 0.739, 0.802)
In (0.496, 0.496, 0.539)
Sb (0.260, 0.260, 0.193)

Computed properties:
Crystal system: monoclinic
Total energy: -2.26 eV/atom
Uncorrected formation energy: 92.3 meV/atom
Space group: Cm, No. 8

No. 4
Here is a relaxed Ce3Te12Au5 crystal from Alexandria. Energies are from PBE.

Cell lengths 14.920, 14.920, 14.920 Å; angles 109.47, 109.47, 109.47 degrees
Site moments in Bohr magnetons follow the coordinates.
Fractional coordinates of all 80 atoms:
Ce (0.250, 0.625, 0.875)  -0.09
Ce (0.125, 0.250, 0.875)  -0.09
Ce (0.750, 0.875, 0.625)  -0.09
Ce (0.375, 0.750, 0.625)  -0.09
Ce (0.875, 0.125, 0.250)  -0.09
Ce (0.875, 0.750, 0.125)  -0.09
Ce (0.750, 0.375, 0.125)  -0.09
Ce (0.625, 0.375, 0.750)  -0.09
Ce (0.250, 0.125, 0.375)  -0.09
Ce (0.375, 0.625, 0.250)  -0.09
Ce (0.625, 0.250, 0.375)  -0.09
Ce (0.125, 0.875, 0.750)  -0.09
Au (0.500, 0.000, 0.000)  0.00
Au (0.625, 0.875, 0.250)  0.00
Au (0.125, 0.750, 0.375)  0.00
Au (0.500, 0.000, 0.500)  0.00
Au (0.625, 0.750, 0.875)  0.00
Au (0.375, 0.250, 0.125)  0.00
Au (0.875, 0.625, 0.750)  0.00
Au (0.000, 0.000, 0.000)  0.00
Au (0.750, 0.625, 0.375)  0.00
Au (0.250, 0.875, 0.125)  0.00
Au (0.000, 0.000, 0.500)  0.00
Au (0.125, 0.375, 0.250)  0.00
Au (0.250, 0.375, 0.625)  0.00
Au (0.500, 0.500, 0.000)  0.00
Au (0.375, 0.125, 0.750)  0.00
Au (0.750, 0.125, 0.875)  0.00
Au (0.000, 0.500, 0.500)  0.00
Au (0.000, 0.500, 0.000)  0.00
Au (0.875, 0.250, 0.625)  0.00
Au (0.500, 0.500, 0.500)  0.00
Te (0.086, 0.914, 0.130)  0.00
Te (0.956, 0.370, 0.284)  0.00
Te (0.370, 0.956, 0.784)  0.00
Te (0.086, 0.171, 0.216)  0.00
Te (0.329, 0.544, 0.414)  0.00
Te (0.414, 0.370, 0.586)  0.00
Te (0.671, 0.216, 0.586)  0.00
Te (0.414, 0.284, 0.329)  0.00
Te (0.130, 0.716, 0.544)  0.00
Te (0.870, 0.284, 0.456)  0.00
Te (0.586, 0.716, 0.671)  0.00
Te (0.284, 0.870, 0.956)  0.00
Te (0.086, 0.914, 0.370)  0.00
Te (0.586, 0.870, 0.414)  0.00
Te (0.829, 0.914, 0.044)  0.00
Te (0.414, 0.044, 0.329)  0.00
Te (0.671, 0.456, 0.586)  0.00
Te (0.216, 0.544, 0.630)  0.00
Te (0.784, 0.456, 0.370)  0.00
Te (0.914, 0.829, 0.784)  0.00
Te (0.329, 0.784, 0.414)  0.00
Te (0.544, 0.216, 0.130)  0.00
Te (0.630, 0.586, 0.914)  0.00
Te (0.630, 0.044, 0.216)  0.00
Te (0.086, 0.171, 0.456)  0.00
Te (0.171, 0.086, 0.716)  0.00
Te (0.044, 0.414, 0.829)  0.00
Te (0.914, 0.086, 0.630)  0.00
Te (0.544, 0.329, 0.914)  0.00
Te (0.414, 0.130, 0.586)  0.00
Te (0.171, 0.086, 0.956)  0.00
Te (0.716, 0.586, 0.171)  0.00
Te (0.914, 0.086, 0.870)  0.00
Te (0.716, 0.130, 0.044)  0.00
Te (0.130, 0.414, 0.086)  0.00
Te (0.870, 0.586, 0.914)  0.00
Te (0.456, 0.784, 0.870)  0.00
Te (0.370, 0.414, 0.086)  0.00
Te (0.284, 0.414, 0.829)  0.00
Te (0.216, 0.671, 0.086)  0.00
Te (0.829, 0.914, 0.284)  0.00
Te (0.784, 0.329, 0.914)  0.00
Te (0.586, 0.630, 0.414)  0.00
Te (0.456, 0.671, 0.086)  0.00
Te (0.956, 0.586, 0.171)  0.00
Te (0.914, 0.829, 0.544)  0.00
Te (0.044, 0.630, 0.716)  0.00
Te (0.586, 0.956, 0.671)  0.00

Computed properties:
Crystal system: cubic
Total energy: -4.08 eV/atom
Uncorrected formation energy: -482.9 meV/atom
Space group: Ia-3d, No. 230

No. 5
Here is a relaxed KRb2Ba crystal from Alexandria. Energies are from PBE.

Cell lengths 4.694, 4.694, 16.407 Å; angles 81.77, 81.77, 60.00 degrees
Fractional coordinates of all 4 atoms:
Rb (0.249, 0.249, 0.253)
Rb (0.084, 0.084, 0.747)
K (0.667, 0.667, 0.000)
Ba (0.500, 0.500, 0.500)

Computed properties:
Crystal system: trigonal
Total energy: -1.17 eV/atom
DFT formation energy: 0.065 eV/atom
Space group: R3m, No. 160

No. 6
Here is a relaxed Nd4CBr2Cl crystal from Alexandria. Energies are from PBE.

Cell lengths 3.913, 7.107, 7.676 Å; angles 106.42, 90.00, 90.00 degrees
Fractional coordinates of all 8 atoms:
Nd (0.500, 0.725, 0.803)
Nd (0.000, 0.301, 0.812)
Nd (0.000, 0.699, 0.188)
Nd (0.500, 0.275, 0.197)
Cl (0.000, 0.000, 0.000)
C (0.500, 0.500, 0.000)
Br (0.500, 0.000, 0.500)
Br (0.000, 0.500, 0.500)

Computed properties:
Crystal system: monoclinic
Total energy: -5.24 eV/atom
Uncorrected formation energy: -1051.1 meV/atom
Space group: P2/m, No. 10

No. 7
Here is a relaxed NaCr3Pt crystal from Alexandria. Energies are from PBE.

Cell lengths 4.711, 4.711, 4.711 Å; angles 90.00, 90.00, 90.00 degrees
Site moments in Bohr magnetons follow the coordinates.
Fractional coordinates of all 5 atoms:
Cr (0.000, 0.500, 0.000)  -4.01
Cr (0.000, 0.000, 0.500)  -3.95
Cr (0.500, 0.000, 0.000)  -3.98
Pt (0.500, 0.500, 0.500)  -0.11
Na (0.000, 0.000, 0.000)  -0.12

Computed properties:
Crystal system: cubic
Total energy: -5.30 eV/atom
DFT formation energy: 1.942 eV/atom
Space group: Pm-3m, No. 221

No. 8
Here is a relaxed LiCdRe2 crystal from Alexandria. Energies are from PBE.

Cell lengths 3.159, 3.159, 6.200 Å; angles 90.00, 90.00, 90.00 degrees
Fractional coordinates of all 4 atoms:
Li (0.500, 0.500, 0.750)
Re (0.000, 0.000, 0.563)
Re (0.000, 0.000, 0.937)
Cd (0.500, 0.500, 0.250)

Computed properties:
Crystal system: tetragonal
Total energy: -6.18 eV/atom
DFT formation energy: 0.752 eV/atom
Space group: P4/mmm, No. 123

No. 9
Here is a relaxed Tb6Dy2Th crystal from Alexandria. Energies are from PBE.

Cell lengths 3.573, 3.573, 26.358 Å; angles 90.00, 90.00, 120.00 degrees
Fractional coordinates of all 9 atoms:
Tb (0.667, 0.333, 0.110)
Tb (0.667, 0.333, 0.890)
Tb (0.333, 0.667, 0.219)
Tb (0.333, 0.667, 0.781)
Tb (0.333, 0.667, 0.565)
Tb (0.333, 0.667, 0.435)
Dy (0.667, 0.333, 0.329)
Dy (0.667, 0.333, 0.671)
Th (0.333, 0.667, 0.000)

Computed properties:
Crystal system: hexagonal
Total energy: -4.87 eV/atom
DFT formation energy: 0.059 eV/atom
Space group: P-6m2, No. 187

No. 10
Here is a relaxed ZrCrNi crystal from Alexandria. Energies are from PBE.

Cell lengths 5.091, 5.091, 7.957 Å; angles 90.00, 90.00, 121.14 degrees
Fractional coordinates of all 12 atoms:
Zr (0.666, 0.334, 0.689)
Zr (0.333, 0.667, 0.808)
Zr (0.666, 0.334, 0.311)
Zr (0.333, 0.667, 0.192)
Cr (0.007, 0.993, 0.240)
Cr (0.327, 0.174, 0.000)
Cr (0.826, 0.673, 0.000)
Cr (0.007, 0.993, 0.760)
Ni (0.822, 0.178, 0.000)
Ni (0.672, 0.830, 0.500)
Ni (0.170, 0.328, 0.500)
Ni (0.169, 0.831, 0.500)

Computed properties:
Crystal system: orthorhombic
Total energy: -8.18 eV/atom
DFT formation energy: -0.196 eV/atom
Space group: Amm2, No. 38